Here is crystalline NdDyTh2 at its relaxed geometry from Alexandria. Energies are from PBE.

```
NdDyTh2
1.0
-2.8904 -0.5468 -2.0486
-1.2669 -3.3213 -0.4623
-8.3020 0.0400 8.5665
Nd Th Dy
1 2 1
Direct
0.4983 0.4983 0.5051
0.2514 0.2514 0.2457
0.0821 0.0821 0.7537
0.6682 0.6682 0.9955
```

Output
- Calculated total energy: -6.0019 eV per atom
- Mass density: 9.8 g/cm3
- SG: R3m
- DFT formation energy: 0.05 eV per atom

=====

Here is crystalline ReAgAu2 at its relaxed geometry from Alexandria. Energies are from PBE.

```
ReAgAu2
1.0
-2.6227 -2.1448 -2.3388
-1.4831 -0.6202 2.2319
-4.8120 4.3541 1.4033
Ag Re Au
1 1 2
Direct
0.5000 0.7500 0.7500
0.5000 0.2500 0.2500
0.0000 0.5143 0.4859
0.0000 0.9857 0.0141
```

Output
- Calculated total energy: -4.9896 eV per atom
- Mass density: 16.7 g/cm3
- SG: Pmmm
- DFT formation energy: 0.47 eV per atom